1.
HfFe2Te2 at its PBEsol-relaxed geometry. Source: Alexandria, functional meta-GGA SCAN.

The structure in POSCAR format:
```
HfFe2Te2
1.0
-3.1455 -1.5690 -0.5763
1.5063 -3.1931 0.4719
-0.6594 2.7342 7.1633
Te Fe Hf
2 2 1
direct
0.6136 0.6136 0.2271 Te
0.3864 0.3864 0.7729 Te
0.7500 0.2500 0.5000 Fe
0.2500 0.7500 0.5000 Fe
0.0000 0.0000 0.0000 Hf
```

Output
* magnetization: 5.861 μB/f.u.
* formation energy (no corrections): -32.4 meV per atom
* space group: No. 139
* total energy: -2.5518 Ry per atom

***

2.
Li2ScHg at its PBEsol-relaxed geometry. Source: Alexandria, functional meta-GGA SCAN.

The structure in POSCAR format:
```
Li2ScHg
1.0
-2.1074 3.8773 0.4249
-3.3781 -1.5579 -2.5383
1.0580 -2.4049 4.0630
Hg Li Sc
1 2 1
direct
0.2518 0.2518 0.5037 Hg
0.0008 0.5008 0.0016 Li
0.7475 0.7475 0.4950 Li
0.4999 0.9999 0.9997 Sc
```

Output
* magnetization: 0.007 μB/f.u.
* space group: No. 44
* total energy: -1.6275 Ry per atom
* formation enthalpy at 0 K: -347 meV per atom

***

3.
CoW2Au at its PBEsol-relaxed geometry. Source: Alexandria, functional meta-GGA SCAN.

The structure in POSCAR format:
```
CoW2Au
1.0
-1.6509 2.5159 -1.2657
-2.2877 -2.0536 -1.0982
-2.7906 0.5634 4.7595
W Au Co
2 1 1
direct
0.0000 0.0000 0.7128 W
0.0000 0.0000 0.2872 W
0.5000 0.5000 0.0000 Au
0.5000 0.5000 0.5000 Co
```

Output
* magnetization: 0.002 μB/f.u.
* space group: No. 123
* total energy: -4.1129 Ry per atom
* E above lowest polymorph: 0.746 eV per formula unit
* formation enthalpy at 0 K: 500 meV per atom

***

Question: Which formula does entry 3 have?
Answer: CoW2Au

***

Copy entry 1 word for word.
HfFe2Te2 at its PBEsol-relaxed geometry. Source: Alexandria, functional meta-GGA SCAN.

The structure in POSCAR format:
```
HfFe2Te2
1.0
-3.1455 -1.5690 -0.5763
1.5063 -3.1931 0.4719
-0.6594 2.7342 7.1633
Te Fe Hf
2 2 1
direct
0.6136 0.6136 0.2271 Te
0.3864 0.3864 0.7729 Te
0.7500 0.2500 0.5000 Fe
0.2500 0.7500 0.5000 Fe
0.0000 0.0000 0.0000 Hf
```

Output
* magnetization: 5.861 μB/f.u.
* formation energy (no corrections): -32.4 meV per atom
* space group: No. 139
* total energy: -2.5518 Ry per atom